# 1
# MgTiTl2Rh

A relaxed MgTiTl2Rh crystal (PBE-GGA, Alexandria).

Properties
DFT formation energy = 915 meV/atom
Space-group type = P4/mmm
E = -17.00 eV/cell
Total magnetic moment = 0.000 μB/atom

```
5
Lattice="5.110 0.000 0.000 0.000 5.110 0.000 0.000 0.000 4.578" Properties=species:S:1:pos:R:3 pbc="T T T"
Mg 0.000 0.000 0.000
Ti 2.555 2.555 2.289
Tl 0.000 2.555 0.000
Tl 2.555 0.000 0.000
Rh 0.000 0.000 2.289
```

---

# 2
# ReRu3

A relaxed ReRu3 crystal (PBE-GGA, Alexandria).

Properties
DFT formation energy = -63 meV/atom
Space-group type = Pmm2
E = -40.53 eV/cell
Total magnetic moment = 0.000 μB/atom
Energy above the most stable polymorph in this dataset = 23 meV per atom

```
4
Lattice="2.744 0.000 0.000 0.000 4.338 0.000 0.000 0.000 4.747" Properties=species:S:1:pos:R:3 pbc="T T T"
Re 0.000 0.000 0.000
Ru 0.000 2.169 1.570
Ru 1.372 0.000 2.322
Ru 1.372 2.169 3.939
```

---

# 3
# SrLiV2

A relaxed SrLiV2 crystal (PBE-GGA, Alexandria).

Properties
DFT formation energy = 1149 meV/atom
Space-group type = Fm-3m
E = -17.24 eV/cell
Total magnetic moment = 2.011 μB/atom
Energy above the most stable polymorph in this dataset = 106 meV per atom

```
4
Lattice="0.000 3.665 3.665 3.665 0.000 3.665 3.665 3.665 0.000" Properties=species:S:1:pos:R:3 pbc="T T T"
Sr 0.000 0.000 0.000
Li 3.665 3.665 3.665
V 1.832 1.832 1.832
V 5.497 5.497 5.497
```

---

# 4
# Ca4HoTa3N8

A relaxed Ca4HoTa3N8 crystal (PBE-GGA, Alexandria).

Properties
Space-group type = R-3m
E_form (uncorrected) = -1.29 eV/atom
E = -135.45 eV/cell
Total magnetic moment = 0.000 μB/atom

```
16
Lattice="3.257 1.880 5.576 -3.257 1.880 5.576 0.000 -3.760 5.576" Properties=species:S:1:pos:R:3 pbc="T T T"
Ca 0.000 0.000 0.000
Ca -1.628 -0.940 5.576
Ca -1.628 0.940 11.153
Ca 0.000 1.880 5.576
Ho 0.000 0.000 8.365
Ta -3.257 0.000 8.365
Ta -1.628 0.940 2.788
Ta 1.628 0.940 2.788
N -1.726 -0.996 9.547
N 0.000 0.000 3.977
N 0.000 -1.993 7.182
N -1.726 0.996 7.182
N 1.726 -0.996 9.547
N 0.000 1.993 9.547
N 0.000 0.000 12.752
N 1.726 0.996 7.182
```

---

# 5
# Sm7Er3

A relaxed Sm7Er3 crystal (PBE-GGA, Alexandria).

Properties
DFT formation energy = 17 meV/atom
Space-group type = C2/m
E = -46.56 eV/cell
Total magnetic moment = 0.000 μB/atom
Energy above the most stable polymorph in this dataset = 0 meV per atom

```
10
Lattice="9.156 -2.540 0.000 9.156 2.540 0.000 -1.435 0.000 7.031" Properties=species:S:1:pos:R:3 pbc="T T T"
Sm 0.000 0.000 0.000
Sm 2.801 0.000 4.220
Sm 7.026 0.000 1.398
Sm 6.324 0.000 4.928
Sm 10.552 0.000 2.103
Sm 9.850 0.000 5.633
Sm 14.075 0.000 2.811
Er -0.718 0.000 3.516
Er 3.533 0.000 0.705
Er 13.343 0.000 6.327
```

---

# 6
# CsScB2

A relaxed CsScB2 crystal (PBE-GGA, Alexandria).

Properties
DFT formation energy = 1310 meV/atom
Space-group type = I4_1/amd
E = -30.60 eV/cell
Total magnetic moment = 0.000 μB/atom
Energy above the most stable polymorph in this dataset = 0 meV per atom

```
8
Lattice="-2.347 2.347 8.400 2.347 -2.347 8.400 2.347 2.347 -8.400" Properties=species:S:1:pos:R:3 pbc="T T T"
Cs 2.347 1.173 2.100
Cs 0.000 1.173 6.300
Sc 2.347 -1.173 6.300
Sc 0.000 3.520 2.100
B 0.000 0.000 0.000
B 1.173 1.173 -4.200
B 1.173 -1.173 4.200
B 0.000 2.347 0.000
```